LiVCSO7 | PBE with a Hubbard U | optimized geometry

## Properties
- Uncorrected energy: -151.28 eV/cell
- ρ: 2.2 g/cm3
- Spin magnetization: 4.000 Bohr magnetons per cell

Cell lengths 5.2733, 6.4147, 9.7718 Å; angles 90.00, 92.82, 90.00 degrees
Space group P2_1 (No. 4)
Unique sites:
Li  0.2366  0.0000  0.1039
V  0.2829  0.6263  0.6521
C  0.2353  0.6733  0.8985
S  0.2261  0.1274  0.5702
O  0.0450  0.6307  0.8070
O  0.0466  0.6306  0.4745
O  0.2013  0.7352  0.0168
O  0.2819  0.9431  0.6578
O  0.2857  0.3111  0.6590
O  0.3827  0.1273  0.4483
O  0.4577  0.6465  0.8441